This record from the Alexandria database describes a relaxed structure of VSi2B2. The functional is PBE-GGA.

Lattice parameters (Å, degrees): 6.0769 6.0769 2.9164 90.00 90.00 90.00
Atoms (fractional coordinates):
Si 0.3663 0.8663 0.0000
Si 0.8663 0.6337 0.0000
Si 0.6337 0.1337 0.0000
Si 0.1337 0.3663 0.0000
B 0.1754 0.6754 0.5000
B 0.6754 0.8246 0.5000
B 0.8246 0.3246 0.5000
B 0.3246 0.1754 0.5000
V 0.0000 0.0000 0.0000
V 0.5000 0.5000 0.0000

calculated volume = 108 Å³ per cell
size of the total moment = 0.01 Bohr magnetons per cell
E_form (uncorrected) = 690 meV/atom
SG = No. 127